HfTcN2F: PBEsol geometry, meta-GGA SCAN.

Summary:
Its calculated volume is 11.52 Å³/atom. The uncorrected formation energy is -27 kJ/mol of atoms.

Cell: 3.839 3.874 3.874 Å, 90.00 90.00 90.00°
Sites, in units of the cell vectors:
N 0.000 0.500 0.000
N 0.000 0.000 0.500
Hf 0.500 0.500 0.500
Tc 0.000 0.000 0.000
F 0.500 0.000 0.000